Pr8Tm2Sc3 | PBE | relaxed

Cell lengths 13.4278, 11.4825, 6.0122 Å; angles 90.00, 112.47, 90.00 degrees
Space group C2/m (No. 12)
Inequivalent atoms, fractional coordinates:
Pr 0.0871 0.0000 0.2502 (multiplicity 4)
Pr 0.1365 0.5000 0.6181 (multiplicity 4)
Pr 0.1549 0.2668 0.1447 (multiplicity 8)
Tm 0.1813 0.0000 0.8172 (multiplicity 4)
Sc 0.0000 0.2278 0.5000 (multiplicity 4)
Sc 0.0000 0.5000 0.0000 (multiplicity 2)

Values from the calculation:
The energy above the most stable polymorph in this dataset comes out at 0 meV per atom.

=====

PrTm12Sc3 | PBE | relaxed

Cell lengths 4.8948, 4.8948, 19.5710 Å; angles 90.00, 90.00, 90.00 degrees
Space group P4/mmm (No. 123)
Inequivalent atoms, fractional coordinates:
Pr 0.0000 0.0000 0.0000 (multiplicity 1)
Tm 0.0000 0.5000 0.1308 (multiplicity 4)
Tm 0.0000 0.5000 0.3770 (multiplicity 4)
Tm 0.5000 0.5000 0.0000 (multiplicity 1)
Tm 0.5000 0.5000 0.2548 (multiplicity 2)
Tm 0.5000 0.5000 0.5000 (multiplicity 1)
Sc 0.0000 0.0000 0.2534 (multiplicity 2)
Sc 0.0000 0.0000 0.5000 (multiplicity 1)

=====

PrTm7Sc3 | PBE | relaxed

Cell lengths 6.9015, 6.9015, 8.2167 Å; angles 90.00, 90.00, 120.00 degrees
Space group P3m1 (No. 156)
Inequivalent atoms, fractional coordinates:
Pr 0.0000 0.0000 0.0000 (multiplicity 1)
Tm 0.0030 0.5015 0.9922 (multiplicity 3)
Tm 0.3311 0.1656 0.3421 (multiplicity 3)
Tm 0.3333 0.6667 0.3353 (multiplicity 1)
Sc 0.1684 0.3368 0.6646 (multiplicity 3)

=====

PrTm4Sc | PBE | relaxed

Cell lengths 8.7731, 14.3610, 6.2237 Å; angles 90.00, 109.16, 90.00 degrees
Space group C2/c (No. 15)
Inequivalent atoms, fractional coordinates:
Pr 0.0000 0.0858 0.2500 (multiplicity 4)
Tm 0.0965 0.3080 0.5364 (multiplicity 8)
Tm 0.2122 0.1276 0.8782 (multiplicity 8)
Sc 0.0000 0.4988 0.7500 (multiplicity 4)

Values from the calculation:
The energy above the most stable polymorph in this dataset comes out at 0 meV per atom.

=====

Pr5Tm2Sc2 | PBE | relaxed

Cell lengths 19.3491, 8.5683, 7.1473 Å; angles 90.00, 90.00, 90.00 degrees
Space group Ima2 (No. 46)
Inequivalent atoms, fractional coordinates:
Pr 0.1076 0.2249 0.0000 (multiplicity 8)
Pr 0.1609 0.7452 0.0024 (multiplicity 8)
Pr 0.2500 0.0472 0.2516 (multiplicity 4)
Tm 0.0000 0.0000 0.7142 (multiplicity 4)
Tm 0.2500 0.0573 0.7482 (multiplicity 4)
Sc 0.0381 0.6377 0.7479 (multiplicity 8)

Values from the calculation:
The energy above the most stable polymorph in this dataset comes out at 97 meV per atom.

=====

Pr2TmSc6 | PBE | relaxed

Cell lengths 9.2931, 9.2931, 3.3122 Å; angles 90.00, 90.00, 120.00 degrees
Space group P6/mmm (No. 191)
Inequivalent atoms, fractional coordinates:
Pr 0.3333 0.6667 0.0000 (multiplicity 2)
Tm 0.0000 0.0000 0.0000 (multiplicity 1)
Sc 0.0000 0.3296 0.5000 (multiplicity 6)

=====

Pr3TmSc3 | PBE | relaxed

Cell lengths 8.4360, 8.4360, 21.3251 Å; angles 90.00, 90.00, 120.00 degrees
Space group R-3 (No. 148, hexagonal axes)
Inequivalent atoms, fractional coordinates:
Pr 0.0428 0.5962 0.3832 (multiplicity 18)
Tm 0.0000 0.0000 0.1565 (multiplicity 6)
Sc 0.0061 0.7800 0.5553 (multiplicity 18)

=====

Pr4Tm7Sc | PBE | relaxed

Cell lengths 11.4673, 5.3045, 13.0546 Å; angles 90.00, 104.59, 90.00 degrees
Space group C2/m (No. 12)
Inequivalent atoms, fractional coordinates:
Pr 0.0394 0.0000 0.2829 (multiplicity 4)
Pr 0.1793 0.5000 0.7607 (multiplicity 4)
Tm 0.0000 0.5000 0.5000 (multiplicity 2)
Tm 0.0898 0.5000 0.1277 (multiplicity 4)
Tm 0.1367 0.0000 0.9667 (multiplicity 4)
Tm 0.2337 0.5000 0.4016 (multiplicity 4)
Sc 0.0000 0.0000 0.5000 (multiplicity 2)

=====

| no. | theoretical density (Mg/m³) | raw total energy (eV/atom) |
| --- | --- | --- |
| 1 | 6.20 | -4.912 |
| 2 | 8.16 | -4.796 |
| 3 | 7.14 | -4.777 |
| 4 | 7.73 | -4.697 |
| 5 | 6.35 | -4.847 |
| 6 | 4.83 | -5.702 |
| 7 | 5.51 | -5.221 |
| 8 | 7.74 | -4.530 |